(1)
This record from the Alexandria database describes NbNiC3 at its PBEsol-relaxed geometry. The functional is meta-GGA SCAN.

Unit cell a=3.666 b=3.666 c=3.666 alpha=90.00 beta=90.00 gamma=90.00
Positions (direct):
Ni (0.000, 0.000, 0.000)
C (0.000, 0.500, 0.000)
C (0.000, 0.000, 0.500)
C (0.500, 0.000, 0.000)
Nb (0.500, 0.500, 0.500)

D(E_F)   3.809 states/eV per cell
Volume   9.85 A^3/atom
Total moment   0.00 μB/atom
SG   Pm-3m



(2)
This record from the Alexandria database describes Nb4NiC2S4 at its PBEsol-relaxed geometry. The functional is meta-GGA SCAN.

Unit cell a=3.289 b=5.686 c=8.507 alpha=102.29 beta=90.00 gamma=90.00
Last column: magnetic moment on the atom in μB.
Positions (direct):
S (0.000, 0.719, 0.159)  0.04
S (0.000, 0.281, 0.841)  0.04
S (0.500, 0.774, 0.840)  0.07
S (0.500, 0.226, 0.160)  0.07
Nb (0.000, 0.116, 0.360)  0.02
Nb (0.000, 0.884, 0.640)  0.02
Nb (0.500, 0.370, 0.639)  0.01
Nb (0.500, 0.630, 0.361)  0.01
C (0.500, 0.000, 0.500)  0.01
C (0.000, 0.500, 0.500)  0.02
Ni (0.000, 0.000, 0.000)  1.08

D(E_F)   3.403 states/eV per cell
Volume   14.13 A^3/atom
Total moment   0.13 μB/atom
SG   P2/m



(3)
This record from the Alexandria database describes NbTl2NiC at its PBEsol-relaxed geometry. The functional is meta-GGA SCAN.

Unit cell a=4.430 b=5.480 c=5.480 alpha=90.00 beta=90.00 gamma=90.00
Last column: magnetic moment on the atom in μB.
Positions (direct):
Ni (0.500, 0.000, 0.000)  -0.06
Tl (0.000, 0.000, 0.500)  -0.05
Tl (0.000, 0.500, 0.000)  -0.05
Nb (0.000, 0.000, 0.000)  -1.00
C (0.500, 0.500, 0.500)  0.99

D(E_F)   3.072 states/eV per cell
Volume   26.61 A^3/atom
Total moment   0.07 μB/atom
SG   P4/mmm



(4)
This record from the Alexandria database describes Nb6V3Ni3C2 at its PBEsol-relaxed geometry. The functional is meta-GGA SCAN.

Unit cell a=8.088 b=8.110 c=8.110 alpha=60.05 beta=60.09 gamma=60.09
Positions (direct):
Nb (0.930, 0.570, 0.570)
Nb (0.068, 0.933, 0.314)
Nb (0.681, 0.319, 0.319)
Nb (0.685, 0.933, 0.314)
Nb (0.317, 0.563, 0.184)
Nb (0.936, 0.563, 0.184)
Nb (0.068, 0.314, 0.933)
Nb (0.685, 0.314, 0.933)
Nb (0.936, 0.184, 0.563)
Nb (0.312, 0.188, 0.188)
Nb (0.062, 0.938, 0.938)
Nb (0.317, 0.184, 0.563)
Ni (0.701, 0.953, 0.953)
Ni (0.297, 0.546, 0.546)
Ni (0.299, 0.854, 0.547)
Ni (0.611, 0.546, 0.546)
Ni (0.393, 0.953, 0.953)
Ni (0.299, 0.547, 0.854)
C (0.000, 0.750, 0.250)
C (0.000, 0.248, 0.248)
C (0.503, 0.248, 0.248)
C (0.000, 0.250, 0.750)
V (0.706, 0.956, 0.632)
V (0.495, 0.757, 0.253)
V (0.490, 0.752, 0.752)
V (0.007, 0.752, 0.752)
V (0.495, 0.253, 0.757)
V (0.706, 0.632, 0.956)

D(E_F)   17.839 states/eV per cell
Volume   13.45 A^3/atom
Total moment   0.00 μB/atom
SG   Imm2



(5)
This record from the Alexandria database describes NbCO2 at its PBEsol-relaxed geometry. The functional is meta-GGA SCAN.

Unit cell a=2.786 b=2.786 c=6.265 alpha=77.15 beta=77.15 gamma=60.00
Positions (direct):
Nb (0.000, 0.000, 0.000)
C (0.500, 0.500, 0.500)
O (0.112, 0.112, 0.665)
O (0.888, 0.888, 0.335)

D(E_F)   1.230 states/eV per cell
Volume   10.17 A^3/atom
Total moment   0.00 μB/atom
SG   R-3m



(6)
This record from the Alexandria database describes NbPCO2 at its PBEsol-relaxed geometry. The functional is meta-GGA SCAN.

Unit cell a=3.680 b=3.680 c=3.723 alpha=90.00 beta=90.00 gamma=90.00
Positions (direct):
P (0.000, 0.000, 0.500)
O (0.500, 0.000, 0.000)
O (0.000, 0.500, 0.000)
Nb (0.500, 0.500, 0.500)
C (0.000, 0.000, 0.000)

D(E_F)   2.455 states/eV per cell
Volume   10.08 A^3/atom
Total moment   0.00 μB/atom
SG   P4/mmm



(7)
This record from the Alexandria database describes NbSbC2O at its PBEsol-relaxed geometry. The functional is meta-GGA SCAN.

Unit cell a=3.950 b=3.950 c=4.061 alpha=90.00 beta=90.00 gamma=90.00
Positions (direct):
O (0.000, 0.000, 0.000)
C (0.000, 0.500, 0.000)
C (0.500, 0.000, 0.000)
Nb (0.500, 0.500, 0.500)
Sb (0.000, 0.000, 0.500)

D(E_F)   2.123 states/eV per cell
Volume   12.67 A^3/atom
Total moment   0.00 μB/atom
SG   P4/mmm



(8)
This record from the Alexandria database describes TiNbC2O at its PBEsol-relaxed geometry. The functional is meta-GGA SCAN.

Unit cell a=3.854 b=3.854 c=5.394 alpha=90.00 beta=90.00 gamma=90.00
Last column: magnetic moment on the atom in μB.
Positions (direct):
Ti (0.000, 0.000, 0.500)  0.29
Nb (0.000, 0.000, 0.000)  0.01
O (0.500, 0.500, 0.500)  -0.09
C (0.500, 0.000, 0.000)  -0.01
C (0.000, 0.500, 0.000)  -0.01

D(E_F)   2.695 states/eV per cell
Volume   16.02 A^3/atom
Total moment   0.04 μB/atom
SG   P4/mmm



(9)
This record from the Alexandria database describes NbOs2RuC at its PBEsol-relaxed geometry. The functional is meta-GGA SCAN.

Unit cell a=4.041 b=4.041 c=4.040 alpha=90.00 beta=90.00 gamma=90.00
Positions (direct):
Ru (0.000, 0.000, 0.500)
Os (0.000, 0.500, 0.000)
Os (0.500, 0.000, 0.000)
C (0.000, 0.000, 0.000)
Nb (0.500, 0.500, 0.500)

D(E_F)   3.015 states/eV per cell
Volume   13.20 A^3/atom
Total moment   0.00 μB/atom
SG   P4/mmm



(10)
This record from the Alexandria database describes Nb2RePC at its PBEsol-relaxed geometry. The functional is meta-GGA SCAN.

Unit cell a=4.312 b=4.863 c=4.863 alpha=90.00 beta=90.00 gamma=90.00
Positions (direct):
P (0.500, 0.000, 0.000)
C (0.500, 0.500, 0.500)
Nb (0.000, 0.500, 0.000)
Nb (0.000, 0.000, 0.500)
Re (0.000, 0.000, 0.000)

D(E_F)   4.212 states/eV per cell
Volume   20.40 A^3/atom
Total moment   0.00 μB/atom
SG   P4/mmm



(11)
This record from the Alexandria database describes NbPdRu2C at its PBEsol-relaxed geometry. The functional is meta-GGA SCAN.

Unit cell a=3.984 b=3.984 c=4.218 alpha=90.00 beta=90.00 gamma=90.00
Last column: magnetic moment on the atom in μB.
Positions (direct):
Nb (0.000, 0.000, 0.500)  -0.05
Ru (0.000, 0.500, 0.000)  0.33
Ru (0.500, 0.000, 0.000)  0.33
Pd (0.500, 0.500, 0.500)  0.11
C (0.000, 0.000, 0.000)  0.01

D(E_F)   3.979 states/eV per cell
Volume   13.39 A^3/atom
Total moment   0.14 μB/atom
SG   P4/mmm



(12)
This record from the Alexandria database describes RbNbPtC2 at its PBEsol-relaxed geometry. The functional is meta-GGA SCAN.

Unit cell a=4.122 b=4.122 c=6.287 alpha=90.00 beta=90.00 gamma=90.00
Positions (direct):
Pt (0.500, 0.500, 0.500)
C (0.000, 0.500, 0.000)
C (0.500, 0.000, 0.000)
Nb (0.000, 0.000, 0.000)
Rb (0.000, 0.000, 0.500)

D(E_F)   3.347 states/eV per cell
Volume   21.36 A^3/atom
Total moment   0.00 μB/atom
SG   P4/mmm



| no. | raw total energy (eV per atom) |
| --- | --- |
| 1 | -14.065 |
| 2 | -19.718 |
| 3 | -38.665 |
| 4 | -23.212 |
| 5 | -13.279 |
| 6 | -12.768 |
| 7 | -17.453 |
| 8 | -13.439 |
| 9 | -44.232 |
| 10 | -29.495 |
| 11 | -29.088 |
| 12 | -26.660 |